[1]
## CaTb4Y7 (PBE)

Data for CaTb4Y7 after structural relaxation.

Summary:
As for the final energy: -5.45 eV/atom. The formation energy is 32 meV/atom. As for the space group: P-1 (2). Its crystal system is triclinic.

a = 7.2598 Å, b = 9.5958 Å, c = 8.8961 Å
α = 81.16°, β = 89.98°, γ = 40.88°
Last column: nearest neighbours and their distance in Å.
Fractional positions:
Y1 0.7751 0.2249 0.3399  5 Tb 3.49-3.68, 6 Y 3.50-3.69, 1 Ca 3.63
Y2 0.2439 0.4997 0.9987  3 Tb 3.54-3.58, 7 Y 3.54-3.72, 2 Ca 3.65
Y3 0.5000 0.0000 0.0000  4 Tb 3.54-3.59, 6 Y 3.59-3.61, 2 Ca 3.63
Y4 0.7561 0.5003 0.0013  3 Tb 3.54-3.58, 7 Y 3.54-3.72, 2 Ca 3.65
Y5 0.0302 0.7162 0.3382  6 Tb 3.47-3.68, 5 Y 3.50-3.69, 1 Ca 3.62
Y6 0.2249 0.7751 0.6601  5 Tb 3.49-3.68, 6 Y 3.50-3.69, 1 Ca 3.63
Y7 0.9698 0.2838 0.6618  6 Tb 3.47-3.68, 5 Y 3.50-3.69, 1 Ca 3.62
Ca1 0.0000 0.0000 0.0000  2 Tb 3.62, 10 Y 3.62-3.65
Tb1 0.4652 0.2813 0.6616  8 Y 3.47-3.68, 3 Tb 3.53-3.63, 1 Ca 3.62
Tb2 0.7188 0.7809 0.6676  4 Tb 3.53-3.63, 8 Y 3.54-3.63
Tb3 0.5348 0.7187 0.3384  8 Y 3.47-3.68, 3 Tb 3.53-3.63, 1 Ca 3.62
Tb4 0.2812 0.2191 0.3324  4 Tb 3.53-3.63, 8 Y 3.54-3.63

[2]
## CaTbY (PBE)

Data for CaTbY after structural relaxation.

Summary:
As for the final energy: -4.30 eV/atom. The formation energy is 64 meV/atom. As for the space group: I4mm (107). Its relative energy among the computed polymorphs is 24 meV/atom. Its crystal system is tetragonal.

a = 3.6495 Å, b = 3.6495 Å, c = 8.2290 Å
α = 102.81°, β = 102.81°, γ = 90.00°
Last column: nearest neighbours and their distance in Å.
Fractional positions:
Y1 0.6762 0.6762 0.3523  4 Tb 3.46, 4 Y 3.65, 4 Ca 3.78
Ca1 0.9998 0.9998 0.9996  4 Ca 3.65, 4 Tb 3.77, 4 Y 3.78
Tb1 0.3240 0.3240 0.6481  4 Y 3.46, 4 Tb 3.65, 4 Ca 3.77

[3]
## CaTb15Y4 (PBE)

Data for CaTb15Y4 after structural relaxation.

Summary:
As for the final energy: -4.83 eV/atom. The formation energy is 37 meV/atom. As for the space group: P4/mmm (123). Its crystal system is tetragonal.

a = 5.0558 Å, b = 5.0558 Å, c = 25.3104 Å
α = 90.00°, β = 90.00°, γ = 90.00°
Last column: nearest neighbours and their distance in Å.
Fractional positions:
Tb1 0.5000 0.0000 0.5000  4 Y 3.57, 8 Tb 3.57-3.58
Tb2 0.5000 0.0000 0.8962  8 Tb 3.52-3.65, 2 Y 3.53, 2 Ca 3.65
Tb3 0.0000 0.5000 0.3015  8 Tb 3.56-3.59, 4 Y 3.56-3.58
Tb4 0.5000 0.5000 0.2007  8 Tb 3.52-3.59, 4 Y 3.58
Tb5 0.0000 0.5000 0.5000  4 Y 3.57, 8 Tb 3.57-3.58
Tb6 0.0000 0.5000 0.1038  8 Tb 3.52-3.65, 2 Y 3.53, 2 Ca 3.65
Tb7 0.5000 0.5000 0.5996  8 Tb 3.56-3.57, 4 Y 3.58
Tb8 0.5000 0.5000 0.7993  8 Tb 3.52-3.59, 4 Y 3.58
Tb9 0.0000 0.5000 0.8962  8 Tb 3.52-3.65, 2 Y 3.53, 2 Ca 3.65
Tb10 0.5000 0.0000 0.1038  8 Tb 3.52-3.65, 2 Y 3.53, 2 Ca 3.65
Tb11 0.5000 0.0000 0.6985  8 Tb 3.56-3.59, 4 Y 3.56-3.58
Tb12 0.5000 0.5000 0.0000  4 Ca 3.58, 8 Tb 3.65
Tb13 0.5000 0.0000 0.3015  8 Tb 3.56-3.59, 4 Y 3.56-3.58
Tb14 0.5000 0.5000 0.4004  8 Tb 3.56-3.57, 4 Y 3.58
Tb15 0.0000 0.5000 0.6985  8 Tb 3.56-3.59, 4 Y 3.56-3.58
Ca1 0.0000 0.0000 0.0000  12 Tb 3.58-3.65
Y1 0.0000 0.0000 0.5994  12 Tb 3.56-3.58
Y2 0.0000 0.0000 0.4006  12 Tb 3.56-3.58
Y3 0.0000 0.0000 0.7988  12 Tb 3.53-3.58
Y4 0.0000 0.0000 0.2012  12 Tb 3.53-3.58